Model i:
DFT (PBE) results for a relaxed structure of Ho6ThSc2.

a b c (Å): 8.9067 17.2471 3.5406
angles (deg): 90.00 100.06 90.00
With the nearest neighbours (Å) after each atom.
Space group C2/m (No. 12)
Unique sites:
1 Ho 0.1659 0.0000 0.3241 [4 per cell]  2 Th 3.37-3.48, 8 Ho 3.39-3.54
2 Ho 0.1709 0.1690 0.8165 [8 per cell]  7 Ho 3.29-3.54, 3 Sc 3.32-3.46
3 Th 0.0000 0.5000 0.0000 [2 per cell]  4 Sc 3.32, 4 Ho 3.37-3.48, 2 Th 3.54
4 Sc 0.0000 0.3370 0.5000 [4 per cell]  6 Ho 3.32-3.46, 2 Th 3.32, 2 Sc 3.54

DOS(E_F) ... 31.3 states/eV/cell
Crystal system ... monoclinic
Magnetic moment ... 0.0 μB/cell

Model ii:
DFT (PBE) results for a relaxed structure of Ho6ThSc2.

a b c (Å): 6.6936 6.6936 23.2943
angles (deg): 90.00 90.00 120.00
With the nearest neighbours (Å) after each atom.
Space group R3 (No. 146, hexagonal axes)
Unique sites:
1 Ho 0.0088 0.4827 0.0000 [9 per cell]  1 Th 3.17, 6 Ho 3.25-3.44, 1 Sc 3.37
2 Ho 0.1510 0.8150 0.5549 [9 per cell]  6 Ho 3.25-3.38, 1 Th 3.26, 2 Sc 3.27-3.49
3 Th 0.0000 0.0000 0.4426 [3 per cell]  6 Ho 3.17-3.26
4 Sc 0.0000 0.0000 0.0448 [3 per cell]  6 Ho 3.37-3.65, 1 Sc 3.64
5 Sc 0.0000 0.0000 0.2009 [3 per cell]  9 Ho 3.27-3.62, 1 Sc 3.64

DOS(E_F) ... 37.8 states/eV/cell
Crystal system ... trigonal
Magnetic moment ... 0.0 μB/cell

Sorted by energy, starting with the most stable: model i, model ii.

Model i:
DFT (PBE) results for a relaxed structure of HoTh3Sc4.

a b c (Å): 4.8975 9.8280 9.4320
angles (deg): 90.00 90.00 90.00
With the nearest neighbours (Å) after each atom.
Space group Pmmn (No. 59, origin choice 2)
Unique sites:
1 Ho 0.2500 0.2500 0.1345 [2 per cell]  4 Sc 3.39-3.42, 8 Th 3.47-3.53
2 Th 0.2500 0.0008 0.8662 [4 per cell]  4 Sc 3.40-3.41, 5 Th 3.46-3.53, 3 Ho 3.47-3.52
3 Th 0.2500 0.7500 0.1346 [2 per cell]  4 Sc 3.39-3.40, 6 Th 3.46-3.53, 2 Ho 3.53
4 Sc 0.2500 0.2500 0.6162 [2 per cell]  8 Sc 3.29-3.46, 4 Th 3.39-3.40
5 Sc 0.2500 0.5008 0.3851 [4 per cell]  8 Sc 3.27-3.47, 3 Th 3.40-3.41, 1 Ho 3.42
6 Sc 0.2500 0.7500 0.6172 [2 per cell]  8 Sc 3.29-3.47, 2 Ho 3.39, 2 Th 3.40

DOS(E_F) ... 31.2 states/eV/cell
Crystal system ... orthorhombic
Magnetic moment ... 0.0 μB/cell

Model ii:
DFT (PBE) results for a relaxed structure of HoTh3Sc4.

a b c (Å): 3.7130 5.4963 11.0006
angles (deg): 90.00 90.00 90.00
With the nearest neighbours (Å) after each atom.
Space group Pmmm (No. 47)
Unique sites:
1 Ho 0.0000 0.0000 0.0000 [1 per cell]  8 Sc 3.32-3.35, 2 Ho 3.71
2 Th 0.0000 0.0000 0.5000 [1 per cell]  8 Sc 3.29-3.32
3 Th 0.0000 0.5000 0.2468 [2 per cell]  8 Sc 3.29-3.35
4 Sc 0.5000 0.0000 0.2530 [2 per cell]  6 Th 3.29-3.32, 2 Ho 3.35
5 Sc 0.5000 0.5000 0.0000 [1 per cell]  4 Th 3.29, 4 Ho 3.32
6 Sc 0.5000 0.5000 0.5000 [1 per cell]  8 Th 3.32-3.35, 2 Sc 3.71

DOS(E_F) ... 9.0 states/eV/cell
Crystal system ... orthorhombic
Magnetic moment ... 0.0 μB/cell

Sorted by energy, starting with the most stable: model ii, model i.